Cr3NiS6O24 at its PBEsol-relaxed geometry, computed with SCAN.

Structure (CIF):
```
data_Cr3NiS6O24
_chemical_formula_sum 'Cr3 Ni1 S6 O24'
_symmetry_space_group_name_H-M 'P 1'
_symmetry_Int_Tables_number 1
_symmetry_space_group_name_Hall 'P 1'
_cell_length_a 8.107
_cell_length_b 8.107
_cell_length_c 8.678
_cell_angle_alpha 62.15
_cell_angle_beta 62.15
_cell_angle_gamma 60.00
loop_
_atom_site_label
_atom_site_type_symbol
_atom_site_fract_x
_atom_site_fract_y
_atom_site_fract_z
_atom_site_occupancy
Cr1 Cr 0.356 0.356 0.931 1
Cr2 Cr 0.644 0.644 0.068 1
Cr3 Cr 0.849 0.849 0.452 1
Ni1 Ni 0.151 0.151 0.548 1
S1 S 0.748 0.465 0.748 1
S2 S 0.959 0.252 0.253 1
S3 S 0.535 0.959 0.253 1
S4 S 0.465 0.039 0.748 1
S5 S 0.039 0.748 0.748 1
S6 S 0.252 0.535 0.253 1
O1 O 0.514 0.115 0.076 1
O2 O 0.294 0.514 0.076 1
O3 O 0.956 0.329 0.709 1
O4 O 0.713 0.662 0.602 1
O5 O 0.969 0.291 0.397 1
O6 O 0.674 0.985 0.299 1
O7 O 0.115 0.294 0.076 1
O8 O 0.613 0.380 0.766 1
O9 O 0.985 0.042 0.299 1
O10 O 0.630 0.759 0.227 1
O11 O 0.759 0.384 0.227 1
O12 O 0.343 0.969 0.397 1
O13 O 0.662 0.024 0.602 1
O14 O 0.241 0.613 0.766 1
O15 O 0.380 0.241 0.766 1
O16 O 0.006 0.956 0.709 1
O17 O 0.384 0.630 0.227 1
O18 O 0.891 0.687 0.925 1
O19 O 0.329 0.006 0.709 1
O20 O 0.024 0.713 0.602 1
O21 O 0.291 0.343 0.397 1
O22 O 0.042 0.674 0.299 1
O23 O 0.687 0.497 0.925 1
O24 O 0.497 0.891 0.925 1
```

Output
DOS at the Fermi energy	11.0	states/eV/f.u.
calculated density	3.16	Mg/m³
DFT total energy	-9.94	eV/atom
space group	No. 146


LiMoIr3 at its PBEsol-relaxed geometry, computed with SCAN.

Structure (CIF):
```
data_LiMoIr3
_chemical_formula_sum 'Li1 Mo1 Ir3'
_symmetry_space_group_name_H-M 'P 1'
_symmetry_Int_Tables_number 1
_symmetry_space_group_name_Hall 'P 1'
_cell_length_a 4.057
_cell_length_b 4.057
_cell_length_c 4.057
_cell_angle_alpha 90.00
_cell_angle_beta 90.00
_cell_angle_gamma 90.00
loop_
_atom_site_label
_atom_site_type_symbol
_atom_site_fract_x
_atom_site_fract_y
_atom_site_fract_z
_atom_site_occupancy
Mo1 Mo 0.500 0.500 0.500 1
Ir1 Ir 0.000 0.500 0.000 1
Ir2 Ir 0.000 0.000 0.500 1
Ir3 Ir 0.500 0.000 0.000 1
Li1 Li 0.000 0.000 0.000 1
```

Output
DFT formation energy	62.9	kJ per mole of atoms
DOS at the Fermi energy	3.5	states/eV/f.u.
calculated density	16.90	Mg/m³
space group	No. 221


SrGa2Pt2 at its PBEsol-relaxed geometry, computed with SCAN.

Structure (CIF):
```
data_SrGa2Pt2
_chemical_formula_sum 'Sr1 Ga2 Pt2'
_symmetry_space_group_name_H-M 'P 1'
_symmetry_Int_Tables_number 1
_symmetry_space_group_name_Hall 'P 1'
_cell_length_a 4.276
_cell_length_b 4.276
_cell_length_c 6.169
_cell_angle_alpha 110.28
_cell_angle_beta 110.28
_cell_angle_gamma 90.00
loop_
_atom_site_label
_atom_site_type_symbol
_atom_site_fract_x
_atom_site_fract_y
_atom_site_fract_z
_atom_site_occupancy
Sr1 Sr 0.000 0.000 0.000 1
Ga1 Ga 0.250 0.750 0.500 1
Ga2 Ga 0.750 0.250 0.500 1
Pt1 Pt 0.375 0.375 0.750 1
Pt2 Pt 0.625 0.625 0.250 1
```

Output
DFT formation energy	-94.7	kJ per mole of atoms
DOS at the Fermi energy	2.4	states/eV/f.u.
calculated density	10.42	Mg/m³
space group	No. 139


LaAlSb at its PBEsol-relaxed geometry, computed with SCAN.

Structure (CIF):
```
data_LaAlSb
_chemical_formula_sum 'La1 Al1 Sb1'
_symmetry_space_group_name_H-M 'P 1'
_symmetry_Int_Tables_number 1
_symmetry_space_group_name_Hall 'P 1'
_cell_length_a 3.752
_cell_length_b 3.752
_cell_length_c 6.038
_cell_angle_alpha 106.93
_cell_angle_beta 106.93
_cell_angle_gamma 93.61
loop_
_atom_site_label
_atom_site_type_symbol
_atom_site_fract_x
_atom_site_fract_y
_atom_site_fract_z
_atom_site_occupancy
Sb1 Sb 0.361 0.361 0.723 1
Al1 Al 0.972 0.972 0.945 1
La1 La 0.666 0.666 0.332 1
```

Output
DOS at the Fermi energy	1.8	states/eV/f.u.
calculated density	6.22	Mg/m³
DFT total energy	-29.90	eV/atom
space group	No. 42


Tm2AgPt at its PBEsol-relaxed geometry, computed with SCAN.

Structure (CIF):
```
data_Tm2AgPt
_chemical_formula_sum 'Tm2 Ag1 Pt1'
_symmetry_space_group_name_H-M 'P 1'
_symmetry_Int_Tables_number 1
_symmetry_space_group_name_Hall 'P 1'
_cell_length_a 4.874
_cell_length_b 4.874
_cell_length_c 4.874
_cell_angle_alpha 60.00
_cell_angle_beta 60.00
_cell_angle_gamma 60.00
loop_
_atom_site_label
_atom_site_type_symbol
_atom_site_fract_x
_atom_site_fract_y
_atom_site_fract_z
_atom_site_occupancy
Tm1 Tm 0.250 0.250 0.250 1
Tm2 Tm 0.750 0.750 0.750 1
Pt1 Pt 0.000 0.000 0.000 1
Ag1 Ag 0.500 0.500 0.500 1
```

Output
DFT formation energy	-95.1	kJ per mole of atoms
DOS at the Fermi energy	2.2	states/eV/f.u.
calculated density	13.00	Mg/m³
space group	No. 225


Ta7Mo at its PBEsol-relaxed geometry, computed with SCAN.

Structure (CIF):
```
data_Ta7Mo
_chemical_formula_sum 'Ta7 Mo1'
_symmetry_space_group_name_H-M 'P 1'
_symmetry_Int_Tables_number 1
_symmetry_space_group_name_Hall 'P 1'
_cell_length_a 3.257
_cell_length_b 4.606
_cell_length_c 9.643
_cell_angle_alpha 103.82
_cell_angle_beta 99.72
_cell_angle_gamma 90.00
loop_
_atom_site_label
_atom_site_type_symbol
_atom_site_fract_x
_atom_site_fract_y
_atom_site_fract_z
_atom_site_occupancy
Mo1 Mo 0.000 0.000 0.000 1
Ta1 Ta 0.620 0.120 0.241 1
Ta2 Ta 0.248 0.248 0.497 1
Ta3 Ta 0.874 0.374 0.748 1
Ta4 Ta 0.500 0.500 0.000 1
Ta5 Ta 0.126 0.626 0.252 1
Ta6 Ta 0.752 0.752 0.503 1
Ta7 Ta 0.380 0.880 0.759 1
```

Output
DFT formation energy	-4.7	kJ per mole of atoms
DOS at the Fermi energy	9.8	states/eV/f.u.
calculated density	16.35	Mg/m³
energy above the most stable polymorph in this dataset	6	meV/atom
space group	No. 71


SrZnRe2 at its PBEsol-relaxed geometry, computed with SCAN.

Structure (CIF):
```
data_SrZnRe2
_chemical_formula_sum 'Sr1 Zn1 Re2'
_symmetry_space_group_name_H-M 'P 1'
_symmetry_Int_Tables_number 1
_symmetry_space_group_name_Hall 'P 1'
_cell_length_a 4.604
_cell_length_b 4.604
_cell_length_c 4.604
_cell_angle_alpha 60.00
_cell_angle_beta 60.00
_cell_angle_gamma 60.00
loop_
_atom_site_label
_atom_site_type_symbol
_atom_site_fract_x
_atom_site_fract_y
_atom_site_fract_z
_atom_site_occupancy
Re1 Re 0.000 0.000 0.000 1
Re2 Re 0.750 0.750 0.750 1
Sr1 Sr 0.500 0.500 0.500 1
Zn1 Zn 0.250 0.250 0.250 1
```

Output
DFT formation energy	82.6	kJ per mole of atoms
DOS at the Fermi energy	0.9	states/eV/f.u.
calculated density	12.64	Mg/m³
space group	No. 216


KPrGeSe4 at its PBEsol-relaxed geometry, computed with SCAN.

Structure (CIF):
```
data_KPrGeSe4
_chemical_formula_sum 'K2 Pr2 Ge2 Se8'
_symmetry_space_group_name_H-M 'P 1'
_symmetry_Int_Tables_number 1
_symmetry_space_group_name_Hall 'P 1'
_cell_length_a 6.814
_cell_length_b 6.983
_cell_length_c 8.979
_cell_angle_alpha 90.00
_cell_angle_beta 108.02
_cell_angle_gamma 90.00
loop_
_atom_site_label
_atom_site_type_symbol
_atom_site_fract_x
_atom_site_fract_y
_atom_site_fract_z
_atom_site_occupancy
K1 K 0.747 0.496 0.938 1
K2 K 0.253 0.996 0.062 1
Pr1 Pr 0.771 0.499 0.447 1
Pr2 Pr 0.229 0.999 0.553 1
Ge1 Ge 0.781 0.968 0.680 1
Ge2 Ge 0.219 0.468 0.320 1
Se1 Se 0.991 0.245 0.717 1
Se2 Se 0.036 0.724 0.732 1
Se3 Se 0.418 0.464 0.151 1
Se4 Se 0.582 0.964 0.849 1
Se5 Se 0.575 0.907 0.420 1
Se6 Se 0.425 0.407 0.580 1
Se7 Se 0.964 0.224 0.268 1
Se8 Se 0.009 0.745 0.283 1
```

Output
DOS at the Fermi energy	0.0	states/eV/f.u.
calculated density	4.65	Mg/m³
DFT total energy	-22.89	eV/atom
space group	No. 4